# 1
# LaPrSi2Au2

Crystalline LaPrSi2Au2 at its relaxed geometry (PBE, OQMD).

CIF file:
```
data_LaPrSi2Au2
_cell_length_a 4.3743
_cell_length_b 4.3743
_cell_length_c 8.3919
_cell_angle_alpha 90.00
_cell_angle_beta 90.00
_cell_angle_gamma 120.00
_symmetry_space_group_name_H-M 'P -3 m 1'
_symmetry_Int_Tables_number 164
_symmetry_space_group_name_Hall '-P 3 2"'
loop_
_atom_site_label
_atom_site_fract_x
_atom_site_fract_y
_atom_site_fract_z
La1 0.0000 0.0000 0.0000
Pr1 0.0000 0.0000 0.5000
Si1 0.3333 0.6667 0.7479
Au1 0.3333 0.6667 0.2534
```

Calculated values
Calculated total energy (eV per formula unit): -32.08

# 2
# LaPuAl

Crystalline LaPuAl at its relaxed geometry (PBE, OQMD).

CIF file:
```
data_LaPuAl
_cell_length_a 7.0678
_cell_length_b 7.0678
_cell_length_c 7.0678
_cell_angle_alpha 90.00
_cell_angle_beta 90.00
_cell_angle_gamma 90.00
_symmetry_space_group_name_H-M 'F -4 3 m'
_symmetry_Int_Tables_number 216
_symmetry_space_group_name_Hall 'F -4 2 3'
loop_
_atom_site_label
_atom_site_fract_x
_atom_site_fract_y
_atom_site_fract_z
La1 0.0000 0.0000 0.0000
Pu1 0.2500 0.2500 0.7500
Al1 0.0000 0.0000 0.5000
```

Calculated values
Calculated total energy (eV per formula unit): -22.07
Energy above the lowest structure with this stoichiometry (meV per atom): 0.0

# 3
# KRbZn2BiP

Crystalline KRbZn2BiP at its relaxed geometry (PBE, OQMD).

CIF file:
```
data_KRbZn2BiP
_cell_length_a 4.4694
_cell_length_b 4.4694
_cell_length_c 10.7559
_cell_angle_alpha 90.00
_cell_angle_beta 90.00
_cell_angle_gamma 120.00
_symmetry_space_group_name_H-M 'P 3 m 1'
_symmetry_Int_Tables_number 156
_symmetry_space_group_name_Hall 'P 3 -2"'
loop_
_atom_site_label
_atom_site_fract_x
_atom_site_fract_y
_atom_site_fract_z
K1 0.0000 0.0000 0.0000
Rb1 0.0000 0.0000 0.5356
Zn1 0.3333 0.6667 0.2607
Zn2 0.6667 0.3333 0.7763
Bi1 0.6667 0.3333 0.2591
P1 0.3333 0.6667 0.7743
```

Calculated values
Calculated total energy (eV per formula unit): -15.70

# 4
# LiCdAs

Crystalline LiCdAs at its relaxed geometry (PBE, OQMD).

CIF file:
```
data_LiCdAs
_cell_length_a 7.0392
_cell_length_b 4.2374
_cell_length_c 8.1137
_cell_angle_alpha 90.00
_cell_angle_beta 90.00
_cell_angle_gamma 90.00
_symmetry_space_group_name_H-M 'P n m a'
_symmetry_Int_Tables_number 62
_symmetry_space_group_name_Hall '-P 2ac 2n'
loop_
_atom_site_label
_atom_site_fract_x
_atom_site_fract_y
_atom_site_fract_z
Li1 0.0154 0.2500 0.1521
Cd1 0.1429 0.2500 0.5727
As1 0.2426 0.2500 0.8904
```

Calculated values
Calculated total energy (eV per formula unit): -8.64

# 5
# ZrGa2Ni3

Crystalline ZrGa2Ni3 at its relaxed geometry (PBE, OQMD).

CIF file:
```
data_ZrGa2Ni3
_cell_length_a 4.0942
_cell_length_b 4.0942
_cell_length_c 11.5444
_cell_angle_alpha 90.00
_cell_angle_beta 90.00
_cell_angle_gamma 120.00
_symmetry_space_group_name_H-M 'P 63/m m c'
_symmetry_Int_Tables_number 194
_symmetry_space_group_name_Hall '-P 6c 2c'
loop_
_atom_site_label
_atom_site_fract_x
_atom_site_fract_y
_atom_site_fract_z
Zr1 0.0000 0.0000 0.2500
Ga1 0.3333 0.6667 0.0840
Ni1 0.0000 0.0000 0.0000
Ni2 0.3333 0.6667 0.6337
```

Calculated values
Calculated total energy (eV per formula unit): -34.48

# 6
# GdMgZn

Crystalline GdMgZn at its relaxed geometry (PBE, OQMD).

CIF file:
```
data_GdMgZn
_cell_length_a 6.2606
_cell_length_b 6.3356
_cell_length_c 7.8979
_cell_angle_alpha 87.39
_cell_angle_beta 87.65
_cell_angle_gamma 63.49
_symmetry_space_group_name_H-M 'P 1'
_symmetry_Int_Tables_number 1
_symmetry_space_group_name_Hall 'P 1'
loop_
_atom_site_label
_atom_site_fract_x
_atom_site_fract_y
_atom_site_fract_z
Gd1 0.0000 0.0000 0.0000
Gd2 0.1525 0.1707 0.3918
Gd3 0.4244 0.4394 0.0355
Gd4 0.6612 0.8239 0.7103
Mg1 0.2121 0.7108 0.6518
Mg2 0.5815 0.6230 0.3639
Mg3 0.7126 0.2944 0.6683
Mg4 0.8959 0.5311 0.0551
Zn1 0.0535 0.6991 0.3345
Zn2 0.1669 0.2995 0.7622
Zn3 0.4869 0.9524 0.0803
Zn4 0.6758 0.1051 0.3441
```

Calculated values
Calculated total energy (eV per formula unit): -7.89

# 7
# PuUFeNi

Crystalline PuUFeNi at its relaxed geometry (PBE, OQMD).

CIF file:
```
data_PuUFeNi
_cell_length_a 6.1190
_cell_length_b 6.1190
_cell_length_c 6.1190
_cell_angle_alpha 90.00
_cell_angle_beta 90.00
_cell_angle_gamma 90.00
_symmetry_space_group_name_H-M 'F -4 3 m'
_symmetry_Int_Tables_number 216
_symmetry_space_group_name_Hall 'F -4 2 3'
loop_
_atom_site_label
_atom_site_fract_x
_atom_site_fract_y
_atom_site_fract_z
Pu1 0.0000 0.0000 0.0000
U1 0.2500 0.2500 0.7500
Fe1 0.0000 0.0000 0.5000
Ni1 0.2500 0.2500 0.2500
```

Calculated values
Calculated total energy (eV per formula unit): -40.22
Energy of formation from the pure elements (kJ/mol of atoms): -22.3

# 8
# AcB4Pd

Crystalline AcB4Pd at its relaxed geometry (PBE, OQMD).

CIF file:
```
data_AcB4Pd
_cell_length_a 3.2632
_cell_length_b 3.2632
_cell_length_c 7.6306
_cell_angle_alpha 90.00
_cell_angle_beta 90.00
_cell_angle_gamma 120.00
_symmetry_space_group_name_H-M 'P 6/m m m'
_symmetry_Int_Tables_number 191
_symmetry_space_group_name_Hall '-P 6 2'
loop_
_atom_site_label
_atom_site_fract_x
_atom_site_fract_y
_atom_site_fract_z
Ac1 0.0000 0.0000 0.0000
B1 0.3333 0.6667 0.2927
Pd1 0.0000 0.0000 0.5000
```

Calculated values
Calculated total energy (eV per formula unit): -35.19
Energy above the lowest structure with this stoichiometry (meV per atom): 0.0

What did the second record say?
# LaPuAl

Crystalline LaPuAl at its relaxed geometry (PBE, OQMD).

CIF file:
```
data_LaPuAl
_cell_length_a 7.0678
_cell_length_b 7.0678
_cell_length_c 7.0678
_cell_angle_alpha 90.00
_cell_angle_beta 90.00
_cell_angle_gamma 90.00
_symmetry_space_group_name_H-M 'F -4 3 m'
_symmetry_Int_Tables_number 216
_symmetry_space_group_name_Hall 'F -4 2 3'
loop_
_atom_site_label
_atom_site_fract_x
_atom_site_fract_y
_atom_site_fract_z
La1 0.0000 0.0000 0.0000
Pu1 0.2500 0.2500 0.7500
Al1 0.0000 0.0000 0.5000
```

Calculated values
Calculated total energy (eV per formula unit): -22.07
Energy above the lowest structure with this stoichiometry (meV per atom): 0.0

Which value of calculated total energy does entry 2 give?
-22.07 eV per formula unit

Number 7 is which compound?
PuUFeNi